Entry from the Alexandria database: crystalline MnV2BrF at its relaxed geometry (GGA+U).

Computed properties:
space-group type: P4/mmm (123)
total DFT energy (no corrections): -23.884 eV/f.u.
crystal system: tetragonal

Cell lengths 5.0527, 5.0527, 4.3101 Å; angles 90.00, 90.00, 90.00 degrees
With the nearest neighbours (Å) after each atom.
Sites, in units of the cell vectors:
Mn: 0.0000 0.0000 0.0000  2 F 2.16
V: 0.0000 0.5000 0.5000  2 F 2.53
V: 0.5000 0.0000 0.5000  2 F 2.53
Br: 0.5000 0.5000 0.0000  8 V 3.32, 4 Mn 3.57
F: 0.0000 0.0000 0.5000  2 Mn 2.16